# 1
Below is crystalline MoPCl2 at its relaxed geometry, with properties calculated at the PBE-GGA level.

Structure (POSCAR):
```
MoPCl2
1.0
1.508 0.871 11.257
-1.508 0.871 11.257
0.000 -1.742 11.257
Mo P Cl
1 1 2
Cartesian
0.000 0.000 0.000
0.000 0.000 16.885
0.000 0.000 13.017
0.000 0.000 20.754
```

Energy above the lowest structure with this stoichiometry, meV/atom: 569.7
Energy, eV/f.u.: -19.3
Symmetry: R-3m, No. 166
E_form (uncorrected), meV per atom: 158.2
M_tot, μB/f.u.: 0.0

# 2
Below is crystalline MoP2Cl at its relaxed geometry, with properties calculated at the PBE-GGA level.

Structure (POSCAR):
```
MoP2Cl
1.0
3.230 0.000 0.000
0.000 3.915 0.000
-0.041 0.000 6.996
Mo P Cl
1 2 1
Cartesian
0.000 0.000 0.000
1.617 0.000 1.839
2.791 1.957 1.230
0.256 1.957 5.287
```

Energy above the lowest structure with this stoichiometry, meV/atom: 290.9
Energy, eV/f.u.: -23.3
Symmetry: Pm, No. 6
E_form (uncorrected), meV per atom: 59.6
M_tot, μB/f.u.: 0.0

# 3
Below is crystalline MoPCl3 at its relaxed geometry, with properties calculated at the PBE-GGA level.

Structure (POSCAR):
```
MoPCl3
1.0
3.547 -7.001 0.000
3.547 7.001 0.000
-0.890 0.000 12.076
Mo P Cl
4 4 12
Cartesian
0.326 0.819 1.792
-0.119 -0.819 7.830
6.322 0.819 4.246
5.877 -0.819 10.284
1.938 4.442 8.573
3.820 4.442 9.541
2.383 -4.442 2.535
4.265 -4.442 3.503
0.459 1.264 6.307
0.799 0.579 9.571
2.298 1.688 0.951
0.904 -1.264 0.269
1.244 -0.579 3.532
1.853 -1.688 6.989
4.351 1.688 5.087
4.959 0.579 8.544
5.300 1.264 11.808
3.906 -1.688 11.125
5.404 -0.579 2.506
5.745 -1.264 5.769
```

Energy above the lowest structure with this stoichiometry, meV/atom: 0.0
Energy, eV/f.u.: -25.1
Symmetry: C2/c, No. 15
E_form (uncorrected), meV per atom: -666.9
M_tot, μB/f.u.: 0.0

# 4
Below is crystalline MoPCl2 at its relaxed geometry, with properties calculated at the PBE-GGA level.

Structure (POSCAR):
```
MoPCl2
1.0
2.908 -4.380 0.000
2.908 4.380 0.000
-2.899 0.000 2.974
Mo P Cl
1 1 2
Cartesian
0.000 0.000 0.000
2.908 0.000 0.000
0.005 2.190 1.487
0.005 -2.190 1.487
```

Energy above the lowest structure with this stoichiometry, meV/atom: 919.4
Energy, eV/f.u.: -17.9
Symmetry: C2/m, No. 12
E_form (uncorrected), meV per atom: 507.9
M_tot, μB/f.u.: 2.9

# 5
Below is crystalline MoP2Cl at its relaxed geometry, with properties calculated at the PBE-GGA level.

Structure (POSCAR):
```
MoP2Cl
1.0
4.060 -1.613 0.000
4.060 1.613 0.000
-1.787 0.000 7.371
Mo P Cl
1 2 1
Cartesian
0.000 0.000 0.000
0.559 0.000 6.687
2.197 0.000 5.388
4.550 0.000 1.837
```

Energy above the lowest structure with this stoichiometry, meV/atom: 0.0
Energy, eV/f.u.: -24.4
Symmetry: Cm, No. 8
E_form (uncorrected), meV per atom: -231.4
M_tot, μB/f.u.: 0.3

# 6
Below is crystalline MoPPbCl2 at its relaxed geometry, with properties calculated at the PBE-GGA level.

Structure (POSCAR):
```
MoPPbCl2
1.0
5.452 0.000 0.000
0.000 5.452 0.000
0.000 0.000 5.918
Mo P Pb Cl
1 1 1 2
Cartesian
0.000 0.000 0.000
2.726 2.726 0.000
2.726 2.726 2.959
0.000 2.726 2.959
2.726 0.000 2.959
```

Energy above the lowest structure with this stoichiometry, meV/atom: 852.8
Energy, eV/f.u.: -19.2
Symmetry: P4/mmm, No. 123
E_form (uncorrected), meV per atom: 881.5
M_tot, μB/f.u.: 3.5